This record from Alexandria via LeMat-Bulk describes an optimized crystal structure of CrPb2Cl. The functional is PBE.

As for the formation energy without anion corrections: 167 meV/atom. Its total energy is -4.5547 eV/atom. The calculation puts the polymorph energy (0 for the lowest one) at 246 meV per atom. Its density of states at the Fermi level is 2.547 states/eV/f.u. The calculation puts the theoretical density at 8.02 g cm⁻³.

Lattice parameters (Å, degrees): 3.3989 5.0891 6.0047 90.00 90.00 90.00
Space group Pmmm (No. 47)
Unique sites:
1 Cr 0.0000 0.0000 0.0000
2 Pb 0.0000 0.5000 0.5000
3 Pb 0.5000 0.5000 0.0000
4 Cl 0.5000 0.0000 0.5000

This record from Alexandria via LeMat-Bulk describes an optimized crystal structure of CrPb2Cl. The functional is PBE.

As for the formation energy without anion corrections: 45 meV/atom. Its total energy is -4.6764 eV/atom. The calculation puts the polymorph energy (0 for the lowest one) at 125 meV per atom. Its density of states at the Fermi level is 2.469 states/eV/f.u. The calculation puts the theoretical density at 7.71 g cm⁻³.

Lattice parameters (Å, degrees): 3.3398 4.0558 15.9662 90.00 90.00 90.00
Space group Immm (No. 71)
Unique sites:
1 Cr 0.0000 0.0000 0.0000
2 Pb 0.0000 0.5000 0.3158
3 Cl 0.0000 0.0000 0.5000

This record from Alexandria via LeMat-Bulk describes an optimized crystal structure of CrPb2Cl. The functional is PBE.

As for the formation energy without anion corrections: 95 meV/atom. Its total energy is -4.6265 eV/atom. The calculation puts the polymorph energy (0 for the lowest one) at 174 meV per atom. Its density of states at the Fermi level is 2.117 states/eV/f.u. The calculation puts the theoretical density at 7.96 g cm⁻³.

Lattice parameters (Å, degrees): 3.4940 3.5327 8.5596 90.00 97.56 90.00
Space group P2/m (No. 10)
Unique sites:
1 Cr 0.0000 0.0000 0.0000
2 Pb 0.4242 0.5000 0.7821
3 Cl 0.5000 0.0000 0.5000

This record from Alexandria via LeMat-Bulk describes an optimized crystal structure of Cr2PbCl6. The functional is PBE.

As for the formation energy without anion corrections: -983 meV/atom. Its total energy is -4.7646 eV/atom. The calculation puts the theoretical density at 3.41 g cm⁻³.

Lattice parameters (Å, degrees): 13.1643 11.3862 6.9506 90.00 101.66 90.00
Space group C2/c (No. 15)
Unique sites:
1 Cr 0.1559 0.0025 0.4202
2 Pb 0.0000 0.3835 0.7500
3 Cl 0.1296 0.4635 0.4849
4 Cl 0.1397 0.1419 0.6689
5 Cl 0.1428 0.1413 0.1607

This record from Alexandria via LeMat-Bulk describes an optimized crystal structure of CrPb2Cl2. The functional is PBE.

As for the formation energy without anion corrections: 127 meV/atom. Its total energy is -4.0193 eV/atom. The calculation puts the polymorph energy (0 for the lowest one) at 196 meV per atom. Its density of states at the Fermi level is 2.555 states/eV/f.u. The calculation puts the theoretical density at 6.16 g cm⁻³.

Lattice parameters (Å, degrees): 4.5541 4.5541 13.9730 90.00 90.00 90.00
Space group I4/mmm (No. 139)
Unique sites:
1 Cr 0.0000 0.0000 0.0000
2 Pb 0.0000 0.0000 0.3880
3 Cl 0.0000 0.5000 0.2500

This record from Alexandria via LeMat-Bulk describes an optimized crystal structure of CrPb3Cl. The functional is PBE.

As for the formation energy without anion corrections: 33 meV/atom. Its total energy is -4.4864 eV/atom. The calculation puts the polymorph energy (0 for the lowest one) at 0 meV per atom. Its density of states at the Fermi level is 1.615 states/eV/f.u. The calculation puts the theoretical density at 8.34 g cm⁻³.

Lattice parameters (Å, degrees): 5.2076 5.2076 5.2076 90.00 90.00 90.00
Space group Pm-3m (No. 221)
Unique sites:
1 Cr 0.0000 0.0000 0.0000
2 Pb 0.0000 0.0000 0.5000
3 Cl 0.5000 0.5000 0.5000